DFT (PBE with a Hubbard U) results for crystalline Sr4Mn3O10 at its relaxed geometry.

The structure belongs to space group Cmce (No. 64); the cell edges are 5.548, 12.534 and 12.902 Å and the angles 90.00°, 90.00° and 90.00°. The asymmetric unit holds Sr at (0.000, 0.030, 0.143), Sr at (0.000, 0.237, 0.385), Mn at (0.000, 0.000, 0.500), Mn at (0.000, 0.132, 0.653), O at (0.000, 0.037, 0.356), O at (0.000, 0.223, 0.158), O at (0.229, 0.110, 0.538) and O at (0.250, 0.113, 0.750).

The value obtained for the total DFT energy (no corrections) is -6.800 eV per atom.